Compound: Pu2InPd4
Source: Alexandria via LeMat-Bulk
Functional: PBE
Structure: optimized geometry Values from VASP.

The structure in Quantum ESPRESSO input format:
```
&SYSTEM
  ibrav = 0, nat = 7, ntyp = 3
/
ATOMIC_SPECIES
Pu 244.00 Pu.upf
In 114.82 In.upf
Pd 106.42 Pd.upf
ATOMIC_POSITIONS angstrom
Pu 1.544 -2.077 2.483
Pu 6.558 0.340 2.155
In 0.000 0.000 0.000
Pd 2.520 0.131 0.828
Pd 5.581 -1.868 3.810
Pd 3.666 0.069 3.343
Pd 4.436 -1.806 1.295
CELL_PARAMETERS angstrom
-1.254 -0.308 3.864
0.286 -4.057 -0.230
9.069 2.628 1.004
```

Values from the calculation:
space-group type = No. 139
M_tot = 10.63 μB per cell
V = 21.45 A^3/atom
ρ = 11.4 g/cm³
DOS(E_F) = 27.47 states/eV/cell
DFT total energy = -7.885 eV per atom